1.
The following is a DFT calculation (PBE) of Pr2SmSn2Hg2 after structural relaxation.

abc: 9.7966 9.7966 9.7966
angles: 29.63 29.63 29.63
Last column: nearest neighbours and their distance in Å.
Sites, in units of the cell vectors:
Pr (0.1300, 0.1300, 0.1300)  3 Hg 3.09
Pr (0.8700, 0.8700, 0.8700)  3 Hg 3.09
Sm (0.0000, 0.0000, 0.0000)  6 Sn 3.35, 2 Pr 3.65
Sn (0.2733, 0.2733, 0.2733)  3 Hg 3.02, 3 Sm 3.35
Sn (0.7267, 0.7267, 0.7267)  3 Hg 3.02, 3 Sm 3.35
Hg (0.4247, 0.4247, 0.4247)  3 Sn 3.02, 3 Pr 3.09
Hg (0.5753, 0.5753, 0.5753)  3 Sn 3.02, 3 Pr 3.09

* total energy: -25.4 eV/cell
* M_tot: 0.0 μB/cell
* crystal system: trigonal



2.
The following is a DFT calculation (PBE) of Tb2PrSmHg4 after structural relaxation.

abc: 9.2757 9.2757 9.2757
angles: 33.54 33.54 33.54
Last column: nearest neighbours and their distance in Å.
Sites, in units of the cell vectors:
Tb (0.2499, 0.2499, 0.2499)  8 Hg 3.24-3.32
Tb (0.7501, 0.7501, 0.7501)  8 Hg 3.24-3.32
Pr (0.0000, 0.0000, 0.0000)  8 Hg 3.29-3.32
Sm (0.5000, 0.5000, 0.5000)  8 Hg 3.24-3.26
Hg (0.1265, 0.1265, 0.1265)  4 Tb 3.24-3.29, 3 Sm 3.26, 1 Pr 3.32
Hg (0.3766, 0.3766, 0.3766)  1 Sm 3.24, 4 Tb 3.27-3.32, 3 Pr 3.29
Hg (0.6234, 0.6234, 0.6234)  1 Sm 3.24, 4 Tb 3.27-3.32, 3 Pr 3.29
Hg (0.8735, 0.8735, 0.8735)  4 Tb 3.24-3.29, 3 Sm 3.26, 1 Pr 3.32

* total energy: -23.7 eV/cell
* M_tot: 1.4 μB/cell
* crystal system: trigonal



3.
The following is a DFT calculation (PBE) of TbPrSmHg after structural relaxation.

abc: 3.6910 3.6910 9.0027
angles: 90.00 90.00 90.00
Last column: nearest neighbours and their distance in Å.
Sites, in units of the cell vectors:
Tb (0.0000, 0.0000, 0.0000)  4 Hg 3.22
Pr (0.5000, 0.5000, 0.7191)  4 Tb 3.63, 4 Sm 3.66, 4 Pr 3.69
Sm (0.0000, 0.0000, 0.4335)  4 Hg 3.30, 4 Pr 3.66, 4 Sm 3.69
Hg (0.5000, 0.5000, 0.2085)  4 Tb 3.22, 4 Sm 3.30

* total energy: -15.4 eV/cell
* excess energy over the best structure of this formula in the dataset: 0 meV per atom
* M_tot: 0.0 μB/cell
* crystal system: tetragonal



4.
The following is a DFT calculation (PBE) of TbPrSmHg after structural relaxation.

abc: 7.8127 7.8127 7.8127
angles: 90.00 90.00 90.00
Last column: nearest neighbours and their distance in Å.
Sites, in units of the cell vectors:
Tb (0.0000, 0.0000, 0.0000)  4 Pr 3.38, 4 Sm 3.38
Tb (0.0000, 0.5000, 0.5000)  4 Pr 3.38, 4 Sm 3.38
Tb (0.5000, 0.0000, 0.5000)  4 Pr 3.38, 4 Sm 3.38
Tb (0.5000, 0.5000, 0.0000)  4 Pr 3.38, 4 Sm 3.38
Pr (0.2500, 0.2500, 0.2500)  4 Hg 3.38, 4 Tb 3.38
Pr (0.2500, 0.7500, 0.7500)  4 Hg 3.38, 4 Tb 3.38
Pr (0.7500, 0.2500, 0.7500)  4 Hg 3.38, 4 Tb 3.38
Pr (0.7500, 0.7500, 0.2500)  4 Hg 3.38, 4 Tb 3.38
Sm (0.2500, 0.2500, 0.7500)  4 Hg 3.38, 4 Tb 3.38
Sm (0.2500, 0.7500, 0.2500)  4 Hg 3.38, 4 Tb 3.38
Sm (0.7500, 0.2500, 0.2500)  4 Hg 3.38, 4 Tb 3.38
Sm (0.7500, 0.7500, 0.7500)  4 Hg 3.38, 4 Tb 3.38
Hg (0.0000, 0.0000, 0.5000)  4 Sm 3.38, 4 Pr 3.38
Hg (0.0000, 0.5000, 0.0000)  4 Sm 3.38, 4 Pr 3.38
Hg (0.5000, 0.0000, 0.0000)  4 Sm 3.38, 4 Pr 3.38
Hg (0.5000, 0.5000, 0.5000)  4 Sm 3.38, 4 Pr 3.38

* total energy: -58.8 eV/cell
* excess energy over the best structure of this formula in the dataset: 165 meV per atom
* M_tot: 0.0 μB/cell
* crystal system: cubic



5.
The following is a DFT calculation (PBE) of Pr2SmTl2Hg2 after structural relaxation.

abc: 9.6186 9.6186 9.6186
angles: 30.40 30.40 30.40
Last column: nearest neighbours and their distance in Å.
Sites, in units of the cell vectors:
Pr (0.1338, 0.1338, 0.1338)  3 Hg 3.10, 3 Pr 3.43
Pr (0.8662, 0.8662, 0.8662)  3 Hg 3.10, 3 Pr 3.43
Sm (0.0000, 0.0000, 0.0000)  6 Tl 3.32, 2 Pr 3.68
Tl (0.2757, 0.2757, 0.2757)  3 Hg 3.09, 3 Sm 3.32
Tl (0.7243, 0.7243, 0.7243)  3 Hg 3.09, 3 Sm 3.32
Hg (0.4283, 0.4283, 0.4283)  3 Tl 3.09, 3 Pr 3.10
Hg (0.5717, 0.5717, 0.5717)  3 Tl 3.09, 3 Pr 3.10

* total energy: -21.2 eV/cell
* M_tot: 0.0 μB/cell
* crystal system: trigonal



6.
The following is a DFT calculation (PBE) of PrSm2Tl2Hg2 after structural relaxation.

abc: 9.5599 9.5599 9.5599
angles: 30.63 30.63 30.63
Last column: nearest neighbours and their distance in Å.
Sites, in units of the cell vectors:
Pr (0.0000, 0.0000, 0.0000)  6 Tl 3.37, 2 Sm 3.65
Sm (0.1337, 0.1337, 0.1337)  3 Hg 3.05
Sm (0.8663, 0.8663, 0.8663)  3 Hg 3.05
Tl (0.2712, 0.2712, 0.2712)  3 Hg 3.10, 3 Pr 3.37
Tl (0.7288, 0.7288, 0.7288)  3 Hg 3.10, 3 Pr 3.37
Hg (0.4339, 0.4339, 0.4339)  3 Sm 3.05, 3 Tl 3.10
Hg (0.5661, 0.5661, 0.5661)  3 Sm 3.05, 3 Tl 3.10

* total energy: -21.2 eV/cell
* M_tot: 0.0 μB/cell
* crystal system: trigonal



> Which formula does entry 5 have?

Pr2SmTl2Hg2